# PBE MoOsSe2, optimized geometry
data_MoOsSe2
_space_group_name_H-M_alt 'C 1 2/m 1'
_space_group_IT_number 12
_space_group_name_Hall '-C 2y'
_cell_length_a 8.063
_cell_length_b 3.052
_cell_length_c 5.299
_cell_angle_alpha 90.00
_cell_angle_beta 101.53
_cell_angle_gamma 90.00
loop_
_atom_site_label
_atom_site_type_symbol
_atom_site_fract_x
_atom_site_fract_y
_atom_site_fract_z
Mo1 Mo 0.000 0.000 0.000
Os1 Os 0.000 0.500 0.500
Se1 Se 0.241 0.500 0.245
# Formation energy from raw total energies (eV/atom): 0.39
# Total moment (Bohr magnetons per cell): 0.000
# E above lowest polymorph (meV/atom): 381